No. 1
Crystalline CeSmInGa at its relaxed geometry, computed with PBE.

Output
- ΔH_f (0 K) (eV per formula unit) = -1.708
- E (eV per atom) = -4.532
- relative energy among the computed polymorphs (kJ per mole of atoms) = 4.0
- theoretical density (g/cm3) = 7.43

Geometry as POSCAR:
```
CeSmInGa
1.0
-0.265 -1.073 -5.199
4.187 -2.124 -2.492
-0.177 -5.044 -1.667
Ce Ga Sm In
1 1 1 1
Direct
0.000 0.000 0.000 Ce
0.250 0.250 0.250 Ga
0.500 0.500 0.500 Sm
0.750 0.750 0.750 In
```


No. 2
Crystalline CeTlInGa at its relaxed geometry, computed with PBE.

Output
- ΔH_f (0 K) (eV per formula unit) = -0.813
- E (eV per atom) = -3.720
- theoretical density (g/cm3) = 8.69

Geometry as POSCAR:
```
CeTlInGa
1.0
5.229 0.000 0.000
2.615 4.529 0.000
2.615 1.510 4.270
In Ce Tl Ga
1 1 1 1
Direct
0.000 0.000 0.000 In
0.500 0.500 0.500 Ce
0.750 0.750 0.750 Tl
0.250 0.250 0.250 Ga
```


No. 3
Crystalline CeTmInGa at its relaxed geometry, computed with PBE.

Output
- ΔH_f (0 K) (eV per formula unit) = -1.704
- E (eV per atom) = -4.469
- relative energy among the computed polymorphs (kJ per mole of atoms) = 3.7
- theoretical density (g/cm3) = 8.11

Geometry as POSCAR:
```
CeTmInGa
1.0
-0.504 -2.091 4.766
-3.828 -3.431 0.959
1.143 -5.043 0.776
In Tm Ce Ga
1 1 1 1
Direct
0.750 0.750 0.750 In
0.000 0.000 0.000 Tm
0.500 0.500 0.500 Ce
0.250 0.250 0.250 Ga
```


No. 4
Crystalline CeTmInGa at its relaxed geometry, computed with PBE.

Output
- ΔH_f (0 K) (eV per formula unit) = -1.857
- E (eV per atom) = -4.507
- relative energy among the computed polymorphs (kJ per mole of atoms) = 0.0
- theoretical density (g/cm3) = 8.35

Geometry as POSCAR:
```
CeTmInGa
1.0
3.405 0.000 0.000
0.000 3.405 0.000
0.000 0.000 8.466
Ce In Tm Ga
1 1 1 1
Direct
0.500 0.500 0.126 Ce
0.000 0.000 0.848 In
0.500 0.500 0.588 Tm
0.000 0.000 0.366 Ga
```


No. 5
Crystalline Ce2Zn4InGa3 at its relaxed geometry, computed with PBE.

Output
- ΔH_f (0 K) (eV per formula unit) = -3.836
- E (eV per atom) = -3.262
- theoretical density (g/cm3) = 7.20

Geometry as POSCAR:
```
Ce2Zn4InGa3
1.0
-2.017 0.522 -3.762
-3.648 -1.450 1.755
-2.650 10.084 2.820
Zn Ga Ce In
4 3 2 1
Direct
0.500 0.500 0.000 Zn
0.000 0.000 0.000 Zn
0.000 0.500 0.353 Zn
0.500 0.000 0.647 Zn
0.500 0.000 0.870 Ga
0.000 0.500 0.130 Ga
0.000 0.000 0.500 Ga
0.000 0.500 0.762 Ce
0.500 0.000 0.238 Ce
0.500 0.500 0.500 In
```


No. 6
Crystalline CeGaIr at its relaxed geometry, computed with PBE.

Output
- ΔH_f (0 K) (eV per formula unit) = -2.530
- E (eV per atom) = -6.784
- theoretical density (g/cm3) = 11.26

Geometry as POSCAR:
```
CeGaIr
1.0
-1.312 -0.035 -4.162
-3.839 -5.548 1.256
-6.116 4.660 1.889
Ga Ir Ce
4 4 4
Direct
0.750 0.349 0.568 Ga
0.750 0.849 0.932 Ga
0.250 0.151 0.068 Ga
0.250 0.651 0.432 Ga
0.250 0.260 0.390 Ir
0.750 0.740 0.610 Ir
0.250 0.760 0.110 Ir
0.750 0.240 0.890 Ir
0.750 0.969 0.310 Ce
0.250 0.031 0.690 Ce
0.750 0.469 0.190 Ce
0.250 0.531 0.810 Ce
```


No. 7
Crystalline Ce2GaIr at its relaxed geometry, computed with PBE.

Output
- ΔH_f (0 K) (eV per formula unit) = -2.566
- E (eV per atom) = -6.580
- theoretical density (g/cm3) = 9.47

Geometry as POSCAR:
```
Ce2GaIr
1.0
-1.853 -3.390 -0.133
5.053 -0.754 4.973
-4.665 2.359 4.903
Ga Ir Ce
2 2 4
Direct
0.403 0.806 0.046 Ga
0.597 0.194 0.954 Ga
0.395 0.789 0.424 Ir
0.605 0.211 0.576 Ir
0.232 0.463 0.728 Ce
0.047 0.094 0.278 Ce
0.768 0.537 0.272 Ce
0.953 0.906 0.722 Ce
```


No. 8
Crystalline Ce3Ga5Ir6 at its relaxed geometry, computed with PBE.

Output
- ΔH_f (0 K) (eV per formula unit) = -9.302
- E (eV per atom) = -6.815
- theoretical density (g/cm3) = 12.36

Geometry as POSCAR:
```
Ce3Ga5Ir6
1.0
4.209 0.000 0.000
0.000 9.420 0.000
0.000 0.000 13.028
Ir Ga Ce
12 10 6
Direct
0.500 0.007 0.664 Ir
0.500 0.401 0.797 Ir
0.000 0.006 0.500 Ir
0.000 0.993 0.836 Ir
0.500 0.994 0.000 Ir
0.500 0.481 0.000 Ir
0.000 0.599 0.703 Ir
0.500 0.007 0.336 Ir
0.000 0.993 0.164 Ir
0.000 0.519 0.500 Ir
0.500 0.401 0.203 Ir
0.000 0.599 0.297 Ir
0.000 0.841 0.000 Ga
0.500 0.159 0.500 Ga
0.000 0.521 0.886 Ga
0.500 0.141 0.164 Ga
0.000 0.859 0.664 Ga
0.500 0.141 0.836 Ga
0.000 0.521 0.114 Ga
0.500 0.479 0.386 Ga
0.000 0.859 0.336 Ga
0.500 0.479 0.614 Ga
0.500 0.751 0.180 Ce
0.000 0.239 0.000 Ce
0.500 0.751 0.820 Ce
0.500 0.761 0.500 Ce
0.000 0.249 0.680 Ce
0.000 0.249 0.320 Ce
```


No. 9
Crystalline Ce2GaIr at its relaxed geometry, computed with PBE.

Output
- ΔH_f (0 K) (eV per formula unit) = -2.590
- E (eV per atom) = -6.586
- theoretical density (g/cm3) = 9.40

Geometry as POSCAR:
```
Ce2GaIr
1.0
3.935 0.000 0.000
0.000 5.614 -2.217
0.000 -0.016 8.676
Ce Ir Ga
4 2 2
Direct
0.750 0.226 0.450 Ce
0.250 0.784 0.095 Ce
0.250 0.774 0.550 Ce
0.750 0.216 0.905 Ce
0.750 0.690 0.297 Ir
0.250 0.310 0.703 Ir
0.750 0.650 0.793 Ga
0.250 0.350 0.207 Ga
```


No. 10
Crystalline Ce2Ga2Ir3 at its relaxed geometry, computed with PBE.

Output
- ΔH_f (0 K) (eV per formula unit) = -4.641
- E (eV per atom) = -7.021
- theoretical density (g/cm3) = 11.28

Geometry as POSCAR:
```
Ce2Ga2Ir3
1.0
-2.006 -2.411 -3.054
6.451 -1.737 0.273
-1.029 -3.736 3.623
Ga Ce Ir
2 2 3
Direct
0.607 0.214 0.905 Ga
0.393 0.786 0.095 Ga
0.145 0.289 0.374 Ce
0.855 0.711 0.626 Ce
0.000 0.000 0.000 Ir
0.217 0.433 0.834 Ir
0.783 0.567 0.166 Ir
```


No. 11
Crystalline Ce3GaIr3 at its relaxed geometry, computed with PBE.

Output
- ΔH_f (0 K) (eV per formula unit) = -4.009
- E (eV per atom) = -7.346
- theoretical density (g/cm3) = 10.11

Geometry as POSCAR:
```
Ce3GaIr3
1.0
-0.101 -5.397 -0.933
4.560 -1.323 7.164
-8.588 0.104 0.330
Ce Ir Ga
6 6 2
Direct
0.250 0.045 0.695 Ce
0.250 0.651 0.955 Ce
0.750 0.349 0.045 Ce
0.250 0.305 0.349 Ce
0.750 0.695 0.651 Ce
0.750 0.955 0.305 Ce
0.750 0.317 0.368 Ir
0.750 0.051 0.683 Ir
0.250 0.368 0.051 Ir
0.250 0.949 0.317 Ir
0.750 0.632 0.949 Ir
0.250 0.683 0.632 Ir
0.750 0.333 0.667 Ga
0.250 0.667 0.333 Ga
```


No. 12
Crystalline Ce6Ga3Ir at its relaxed geometry, computed with PBE.

Output
- ΔH_f (0 K) (eV per formula unit) = -3.532
- E (eV per atom) = -5.708
- theoretical density (g/cm3) = 8.10

Geometry as POSCAR:
```
Ce6Ga3Ir
1.0
7.985 0.294 0.301
0.121 7.989 0.301
0.121 0.124 7.994
Ga Ir Ce
6 2 12
Direct
0.116 0.116 0.535 Ga
0.465 0.884 0.884 Ga
0.116 0.535 0.116 Ga
0.884 0.465 0.884 Ga
0.884 0.884 0.465 Ga
0.535 0.116 0.116 Ga
0.500 0.500 0.500 Ir
0.000 0.000 0.000 Ir
0.487 0.838 0.487 Ce
0.766 0.111 0.766 Ce
0.513 0.513 0.162 Ce
0.889 0.234 0.234 Ce
0.487 0.487 0.838 Ce
0.838 0.487 0.487 Ce
0.111 0.766 0.766 Ce
0.766 0.766 0.111 Ce
0.162 0.513 0.513 Ce
0.234 0.234 0.889 Ce
0.234 0.889 0.234 Ce
0.513 0.162 0.513 Ce
```


No. 13
Crystalline Ce3Ga4Ir at its relaxed geometry, computed with PBE.

Output
- ΔH_f (0 K) (eV per formula unit) = -3.428
- E (eV per atom) = -5.275
- theoretical density (g/cm3) = 7.71

Geometry as POSCAR:
```
Ce3Ga4Ir
1.0
4.615 0.000 0.000
0.000 6.788 0.000
-2.308 -3.394 6.129
Ce Ga Ir
3 4 1
Direct
0.162 0.162 0.324 Ce
0.000 0.500 0.000 Ce
0.838 0.838 0.676 Ce
0.625 0.423 0.250 Ga
0.375 0.577 0.750 Ga
0.625 0.827 0.250 Ga
0.375 0.173 0.750 Ga
0.500 0.000 0.000 Ir
```


No. 14
Crystalline Ce2Ga5Ir5 at its relaxed geometry, computed with PBE.

Output
- ΔH_f (0 K) (eV per formula unit) = -6.576
- E (eV per atom) = -6.490
- theoretical density (g/cm3) = 12.39

Geometry as POSCAR:
```
Ce2Ga5Ir5
1.0
4.264 0.000 0.000
0.000 5.407 0.000
0.000 0.000 9.242
Ga Ce Ir
5 2 5
Direct
0.500 0.252 0.760 Ga
0.500 0.748 0.240 Ga
0.500 0.500 0.500 Ga
0.500 0.252 0.240 Ga
0.500 0.748 0.760 Ga
0.000 0.500 0.000 Ce
0.000 0.000 0.500 Ce
0.000 0.500 0.329 Ir
0.000 0.500 0.671 Ir
0.000 0.000 0.194 Ir
0.000 0.000 0.806 Ir
0.500 0.000 0.000 Ir
```


No. 15
Crystalline Ce2GaIr at its relaxed geometry, computed with PBE.

Output
- ΔH_f (0 K) (eV per formula unit) = -0.477
- E (eV per atom) = -6.058
- theoretical density (g/cm3) = 6.95

Geometry as POSCAR:
```
Ce2GaIr
1.0
3.985 0.000 0.000
1.993 3.451 0.000
1.993 1.150 9.418
Ga Ir Ce
1 1 2
Direct
0.000 0.000 0.000 Ga
0.500 0.500 0.500 Ir
0.111 0.111 0.667 Ce
0.889 0.889 0.333 Ce
```


No. 16
Crystalline CeGaIr at its relaxed geometry, computed with PBE.

Output
- ΔH_f (0 K) (eV per formula unit) = -1.779
- E (eV per atom) = -6.533
- theoretical density (g/cm3) = 9.81

Geometry as POSCAR:
```
CeGaIr
1.0
-1.917 -3.751 -1.807
2.195 -4.019 0.201
-1.556 -3.326 2.743
Ir Ga Ce
1 1 1
Direct
0.250 0.250 0.250 Ir
0.000 0.000 0.000 Ga
0.500 0.500 0.500 Ce
```


No. 17
Crystalline Ce8Ga2Ir3 at its relaxed geometry, computed with PBE.

Output
- ΔH_f (0 K) (eV per formula unit) = -4.435
- E (eV per atom) = -6.503
- theoretical density (g/cm3) = 8.42

Geometry as POSCAR:
```
Ce8Ga2Ir3
1.0
6.705 0.000 -0.384
0.000 7.185 0.000
-3.181 -3.593 7.704
Ce Ir Ga
8 3 2
Direct
0.441 0.387 0.199 Ce
0.559 0.613 0.801 Ce
0.559 0.188 0.801 Ce
0.036 0.669 0.337 Ce
0.964 0.331 0.663 Ce
0.441 0.812 0.199 Ce
0.952 0.099 0.198 Ce
0.048 0.901 0.802 Ce
0.000 0.306 0.000 Ir
0.000 0.694 0.000 Ir
0.500 0.000 0.000 Ir
0.578 0.768 0.536 Ga
0.422 0.232 0.464 Ga
```


No. 18
Crystalline Ce2GaIr at its relaxed geometry, computed with PBE.

Output
- ΔH_f (0 K) (eV per formula unit) = -2.292
- E (eV per atom) = -6.512
- theoretical density (g/cm3) = 10.65

Geometry as POSCAR:
```
Ce2GaIr
1.0
4.176 0.000 0.000
0.000 4.498 0.000
0.000 0.000 4.498
Ce Ir Ga
2 1 1
Direct
0.000 0.000 0.500 Ce
0.000 0.500 0.000 Ce
0.500 0.000 0.000 Ir
0.500 0.500 0.500 Ga
```


No. 19
Crystalline CeGa3Ir at its relaxed geometry, computed with PBE.

Output
- ΔH_f (0 K) (eV per formula unit) = -3.135
- E (eV per atom) = -5.402
- relative energy among the computed polymorphs (kJ per mole of atoms) = 0.7
- theoretical density (g/cm3) = 9.28

Geometry as POSCAR:
```
CeGa3Ir
1.0
3.941 0.000 -1.588
-0.640 3.889 -1.588
0.185 0.218 6.144
Ga Ce Ir
3 1 1
Direct
0.764 0.264 0.528 Ga
0.264 0.764 0.528 Ga
0.415 0.415 0.829 Ga
0.008 0.008 0.015 Ce
0.640 0.640 0.280 Ir
```


No. 20
Crystalline Ce3Ga6Ir5 at its relaxed geometry, computed with PBE.

Output
- ΔH_f (0 K) (eV per formula unit) = -10.077
- E (eV per atom) = -6.453
- theoretical density (g/cm3) = 11.69

Geometry as POSCAR:
```
Ce3Ga6Ir5
1.0
4.215 0.000 0.000
0.000 9.470 0.000
0.000 0.000 12.810
Ir Ga Ce
10 12 6
Direct
0.500 0.202 0.500 Ir
0.000 0.545 0.112 Ir
0.000 0.859 0.656 Ir
0.500 0.141 0.156 Ir
0.500 0.455 0.612 Ir
0.000 0.798 0.000 Ir
0.500 0.141 0.844 Ir
0.000 0.545 0.888 Ir
0.000 0.859 0.344 Ir
0.500 0.455 0.388 Ir
0.000 0.585 0.320 Ga
0.000 0.983 0.153 Ga
0.500 0.964 0.000 Ga
0.000 0.983 0.847 Ga
0.000 0.585 0.680 Ga
0.500 0.415 0.820 Ga
0.500 0.589 0.000 Ga
0.000 0.036 0.500 Ga
0.500 0.017 0.347 Ga
0.500 0.017 0.653 Ga
0.000 0.411 0.500 Ga
0.500 0.415 0.180 Ga
0.000 0.267 0.000 Ce
0.500 0.751 0.198 Ce
0.000 0.249 0.698 Ce
0.500 0.751 0.802 Ce
0.000 0.249 0.302 Ce
0.500 0.733 0.500 Ce
```


No. 21
Crystalline Ce12GaIr7 at its relaxed geometry, computed with PBE.

Output
- ΔH_f (0 K) (eV per formula unit) = -9.705
- E (eV per atom) = -7.298
- theoretical density (g/cm3) = 10.84

Geometry as POSCAR:
```
Ce12GaIr7
1.0
-3.673 -4.793 6.149
-2.885 -2.352 -7.773
8.582 -0.701 0.363
Ir Ce Ga
7 12 1
Direct
0.918 0.283 0.040 Ir
0.283 0.040 0.918 Ir
0.717 0.960 0.082 Ir
0.040 0.918 0.283 Ir
0.082 0.717 0.960 Ir
0.500 0.500 0.500 Ir
0.960 0.082 0.717 Ir
0.692 0.578 0.893 Ce
0.893 0.692 0.578 Ce
0.824 0.324 0.688 Ce
0.578 0.893 0.692 Ce
0.676 0.312 0.176 Ce
0.422 0.107 0.308 Ce
0.107 0.308 0.422 Ce
0.312 0.176 0.676 Ce
0.176 0.676 0.312 Ce
0.688 0.824 0.324 Ce
0.324 0.688 0.824 Ce
0.308 0.422 0.107 Ce
0.000 0.000 0.000 Ga
```


No. 22
Crystalline Ce5GaIr at its relaxed geometry, computed with PBE.

Output
- ΔH_f (0 K) (eV per formula unit) = -1.758
- E (eV per atom) = -6.188
- theoretical density (g/cm3) = 9.06

Geometry as POSCAR:
```
Ce5GaIr
1.0
-0.537 -4.927 -3.644
4.462 -4.132 0.931
-4.159 -8.074 5.947
Ce Ir Ga
10 2 2
Direct
0.212 0.483 0.562 Ce
0.517 0.788 0.938 Ce
0.788 0.517 0.438 Ce
0.483 0.212 0.062 Ce
0.056 0.944 0.750 Ce
0.006 0.553 0.159 Ce
0.553 0.006 0.659 Ce
0.447 0.994 0.341 Ce
0.994 0.447 0.841 Ce
0.944 0.056 0.250 Ce
0.000 0.000 0.500 Ir
0.000 0.000 0.000 Ir
0.458 0.542 0.250 Ga
0.542 0.458 0.750 Ga
```